Here is a relaxed CoSeO2F crystal from the Alexandria database. Energies are from PBE with a Hubbard U.

Structure (POSCAR):
```
CoSeO2F
1.0
3.816 0.000 0.000
0.000 3.816 0.000
0.000 0.000 3.771
Co Se O F
1 1 2 1
Direct
0.000 0.000 0.000 Co
0.500 0.500 0.500 Se
0.000 0.500 0.000 O
0.500 0.000 0.000 O
0.000 0.000 0.500 F
```

Calculated values
* space group: P4/mmm
* crystal system: tetragonal
* electronic total energy: -4.314 eV/atom